Arrangement w

Below is ZnTcHg after structural relaxation, with properties calculated at the PBE level.

The structure in CIF format:
```
data_ZnTcHg
_cell_length_a 6.0935
_cell_length_b 6.0935
_cell_length_c 6.0935
_cell_angle_alpha 90.00
_cell_angle_beta 90.00
_cell_angle_gamma 90.00
_space_group_name_H-M_alt 'P 1'
_space_group_IT_number 1
loop_
_space_group_symop_operation_xyz
'x,y,z'
loop_
_atom_site_label
_atom_site_fract_x
_atom_site_fract_y
_atom_site_fract_z
_atom_site_occupancy
Zn1 0.0000 0.0000 0.0000 1
Zn2 0.0000 0.5000 0.5000 1
Zn3 0.5000 0.0000 0.5000 1
Zn4 0.5000 0.5000 0.0000 1
Tc1 0.2500 0.2500 0.2500 1
Tc2 0.2500 0.7500 0.7500 1
Tc3 0.7500 0.2500 0.7500 1
Tc4 0.7500 0.7500 0.2500 1
Hg1 0.2500 0.2500 0.7500 1
Hg2 0.2500 0.7500 0.2500 1
Hg3 0.7500 0.2500 0.2500 1
Hg4 0.7500 0.7500 0.7500 1
```

Output
SG: F-43m (216)

Arrangement x

Below is ZnTcHg after structural relaxation, with properties calculated at the PBE level.

The structure in CIF format:
```
data_ZnTcHg
_cell_length_a 2.8105
_cell_length_b 3.4531
_cell_length_c 10.4018
_cell_angle_alpha 90.00
_cell_angle_beta 90.00
_cell_angle_gamma 90.00
_space_group_name_H-M_alt 'P 1'
_space_group_IT_number 1
loop_
_space_group_symop_operation_xyz
'x,y,z'
loop_
_atom_site_label
_atom_site_fract_x
_atom_site_fract_y
_atom_site_fract_z
_atom_site_occupancy
Zn1 0.0000 0.0000 0.0000 1
Zn2 0.5000 0.5000 0.5000 1
Tc1 0.0000 0.0000 0.3626 1
Tc2 0.5000 0.5000 0.8626 1
Hg1 0.0000 0.0000 0.6779 1
Hg2 0.5000 0.5000 0.1779 1
```

Output
SG: Imm2 (44)

Arrangement y

Below is ZnTcHg after structural relaxation, with properties calculated at the PBE level.

The structure in CIF format:
```
data_ZnTcHg
_cell_length_a 2.9024
_cell_length_b 2.9024
_cell_length_c 7.0113
_cell_angle_alpha 90.00
_cell_angle_beta 90.00
_cell_angle_gamma 120.00
_space_group_name_H-M_alt 'P 1'
_space_group_IT_number 1
loop_
_space_group_symop_operation_xyz
'x,y,z'
loop_
_atom_site_label
_atom_site_fract_x
_atom_site_fract_y
_atom_site_fract_z
_atom_site_occupancy
Zn1 0.0000 0.0000 0.0000 1
Tc1 0.3333 0.6667 0.7037 1
Hg1 0.6667 0.3333 0.3579 1
```

Output
SG: P3m1 (156)

Arrangement z

Below is ZnTcHg after structural relaxation, with properties calculated at the PBE level.

The structure in CIF format:
```
data_ZnTcHg
_cell_length_a 4.5376
_cell_length_b 4.5376
_cell_length_c 2.8047
_cell_angle_alpha 90.00
_cell_angle_beta 90.00
_cell_angle_gamma 120.00
_space_group_name_H-M_alt 'P 1'
_space_group_IT_number 1
loop_
_space_group_symop_operation_xyz
'x,y,z'
loop_
_atom_site_label
_atom_site_fract_x
_atom_site_fract_y
_atom_site_fract_z
_atom_site_occupancy
Zn1 0.0000 0.0000 0.0000 1
Tc1 0.6667 0.3333 0.5000 1
Hg1 0.3333 0.6667 0.0000 1
```

Output
SG: P-6m2 (187)

What should be chosen as the most stable of them? Choose arrangement y.

Arrangement w

Below is ZnTcHg after structural relaxation, with properties calculated at the PBE level.

The structure in CIF format:
```
data_ZnTcHg
_cell_length_a 2.9867
_cell_length_b 2.9867
_cell_length_c 12.2663
_cell_angle_alpha 90.00
_cell_angle_beta 90.00
_cell_angle_gamma 90.00
_space_group_name_H-M_alt 'P 1'
_space_group_IT_number 1
loop_
_space_group_symop_operation_xyz
'x,y,z'
loop_
_atom_site_label
_atom_site_fract_x
_atom_site_fract_y
_atom_site_fract_z
_atom_site_occupancy
Zn1 0.2500 0.2500 0.2003 1
Zn2 0.7500 0.7500 0.7997 1
Tc1 0.2500 0.2500 0.9407 1
Tc2 0.7500 0.7500 0.0593 1
Hg1 0.2500 0.2500 0.6119 1
Hg2 0.7500 0.7500 0.3881 1
```

Output
SG: P4/nmm (129)

Arrangement x

Below is ZnTcHg after structural relaxation, with properties calculated at the PBE level.

The structure in CIF format:
```
data_ZnTcHg
_cell_length_a 2.9709
_cell_length_b 4.8977
_cell_length_c 14.0842
_cell_angle_alpha 90.00
_cell_angle_beta 90.00
_cell_angle_gamma 90.00
_space_group_name_H-M_alt 'P 1'
_space_group_IT_number 1
loop_
_space_group_symop_operation_xyz
'x,y,z'
loop_
_atom_site_label
_atom_site_fract_x
_atom_site_fract_y
_atom_site_fract_z
_atom_site_occupancy
Zn1 0.0000 0.0000 0.0000 1
Zn2 0.0000 0.5000 0.5000 1
Zn3 0.5000 0.0000 0.5000 1
Zn4 0.5000 0.5000 0.0000 1
Tc1 0.0000 0.0000 0.6510 1
Tc2 0.0000 0.5000 0.1510 1
Tc3 0.5000 0.0000 0.1510 1
Tc4 0.5000 0.5000 0.6510 1
Hg1 0.0000 0.0000 0.3266 1
Hg2 0.0000 0.5000 0.8266 1
Hg3 0.5000 0.0000 0.8266 1
Hg4 0.5000 0.5000 0.3266 1
```

Output
SG: Fmm2 (42)

What should be chosen as the most stable of them? Choose arrangement w.

Arrangement w

Below is Zr3TcHg after structural relaxation, with properties calculated at the PBE level.

The structure in CIF format:
```
data_Zr3TcHg
_cell_length_a 5.1547
_cell_length_b 5.1547
_cell_length_c 5.1547
_cell_angle_alpha 90.00
_cell_angle_beta 90.00
_cell_angle_gamma 90.00
_space_group_name_H-M_alt 'P 1'
_space_group_IT_number 1
loop_
_space_group_symop_operation_xyz
'x,y,z'
loop_
_atom_site_label
_atom_site_fract_x
_atom_site_fract_y
_atom_site_fract_z
_atom_site_occupancy
Zr1 0.0000 0.0000 0.5000 1
Zr2 0.0000 0.5000 0.0000 1
Zr3 0.5000 0.0000 0.0000 1
Tc1 0.5000 0.5000 0.5000 1
Hg1 0.0000 0.0000 0.0000 1
```

Output
SG: Pm-3m (221)

Arrangement x

Below is Zr3TcHg after structural relaxation, with properties calculated at the PBE level.

The structure in CIF format:
```
data_Zr3TcHg
_cell_length_a 5.0281
_cell_length_b 5.0281
_cell_length_c 5.0281
_cell_angle_alpha 90.00
_cell_angle_beta 90.00
_cell_angle_gamma 90.00
_space_group_name_H-M_alt 'P 1'
_space_group_IT_number 1
loop_
_space_group_symop_operation_xyz
'x,y,z'
loop_
_atom_site_label
_atom_site_fract_x
_atom_site_fract_y
_atom_site_fract_z
_atom_site_occupancy
Zr1 0.0000 0.0000 0.5000 1
Zr2 0.0000 0.5000 0.0000 1
Zr3 0.5000 0.0000 0.0000 1
Tc1 0.0000 0.0000 0.0000 1
Hg1 0.5000 0.5000 0.5000 1
```

Output
SG: Pm-3m (221)

What should be chosen as the most stable of them? Choose arrangement x.

Arrangement w

Below is Hg3Te after structural relaxation, with properties calculated at the PBE level.

The structure in CIF format:
```
data_Hg3Te
_cell_length_a 5.3549
_cell_length_b 5.3549
_cell_length_c 7.6365
_cell_angle_alpha 90.00
_cell_angle_beta 90.00
_cell_angle_gamma 90.00
_space_group_name_H-M_alt 'P 1'
_space_group_IT_number 1
loop_
_space_group_symop_operation_xyz
'x,y,z'
loop_
_atom_site_label
_atom_site_fract_x
_atom_site_fract_y
_atom_site_fract_z
_atom_site_occupancy
Hg1 0.0000 0.0000 0.0000 1
Hg2 0.0000 0.5000 0.2500 1
Hg3 0.0000 0.5000 0.7500 1
Hg4 0.5000 0.0000 0.2500 1
Hg5 0.5000 0.0000 0.7500 1
Hg6 0.5000 0.5000 0.5000 1
Te1 0.0000 0.0000 0.5000 1
Te2 0.5000 0.5000 0.0000 1
```

Output
SG: I4/mmm (139)

Arrangement x

Below is Hg3Te after structural relaxation, with properties calculated at the PBE level.

The structure in CIF format:
```
data_Hg3Te
_cell_length_a 3.1080
_cell_length_b 6.7147
_cell_length_c 5.9631
_cell_angle_alpha 90.00
_cell_angle_beta 93.66
_cell_angle_gamma 90.00
_space_group_name_H-M_alt 'P 1'
_space_group_IT_number 1
loop_
_space_group_symop_operation_xyz
'x,y,z'
loop_
_atom_site_label
_atom_site_fract_x
_atom_site_fract_y
_atom_site_fract_z
_atom_site_occupancy
Hg1 0.0000 0.0000 0.0000 1
Hg2 0.4914 0.5000 0.7468 1
Hg3 0.5086 0.5000 0.2532 1
Te1 0.0000 0.0000 0.5000 1
```

Output
SG: P2/m (10)

What should be chosen as the most stable of them? Choose arrangement x.